Ba2ZnOs3O12: relaxed, PBE.

Unit cell a=7.047 b=7.047 c=7.047 alpha=62.26 beta=62.26 gamma=62.26
Fractional coordinates of all 18 atoms:
Ba1 0.622 0.622 0.622
Ba2 0.378 0.378 0.378
Zn1 0.000 0.000 0.000
Os1 0.500 0.000 0.000
Os2 0.000 0.500 0.000
Os3 0.000 0.000 0.500
O1 0.314 0.314 0.911
O2 0.908 0.908 0.355
O3 0.355 0.908 0.908
O4 0.911 0.314 0.314
O5 0.908 0.355 0.908
O6 0.314 0.911 0.314
O7 0.686 0.686 0.089
O8 0.092 0.092 0.645
O9 0.645 0.092 0.092
O10 0.089 0.686 0.686
O11 0.092 0.645 0.092
O12 0.686 0.089 0.686

Calculated values
- theoretical density (g cm⁻³) = 7.0
- E_form (uncorrected) (eV per atom) = -1.409